[1]
# PmInCuAu

A relaxed PmInCuAu crystal (PBE, the Alexandria database).

The structure in CIF format:
```
data_PmInCuAu
_space_group_name_H-M_alt 'F -4 3 m'
_space_group_IT_number 216
_space_group_name_Hall 'F -4 2 3'
_cell_length_a 6.9564
_cell_length_b 6.9564
_cell_length_c 6.9564
_cell_angle_alpha 90.00
_cell_angle_beta 90.00
_cell_angle_gamma 90.00
loop_
_atom_site_label
_atom_site_type_symbol
_atom_site_fract_x
_atom_site_fract_y
_atom_site_fract_z
Pm1 Pm 0.0000 0.0000 0.0000
In1 In 0.0000 0.0000 0.5000
Cu1 Cu 0.2500 0.2500 0.2500
Au1 Au 0.2500 0.2500 0.7500
```

Summary:
As for the density: 10.27 g/cm³. The calculation puts the formation energy from the elements at -0.49 eV per atom. The calculation puts the total energy at -4.203 eV/atom.

---

[2]
# Th4CoOsS2

A relaxed Th4CoOsS2 crystal (PBE, the Alexandria database).

The structure in CIF format:
```
data_Th4CoOsS2
_space_group_name_H-M_alt 'P 1 2/m 1'
_space_group_IT_number 10
_space_group_name_Hall '-P 2y'
_cell_length_a 6.9628
_cell_length_b 4.0346
_cell_length_c 7.4839
_cell_angle_alpha 90.00
_cell_angle_beta 108.11
_cell_angle_gamma 90.00
loop_
_atom_site_label
_atom_site_type_symbol
_atom_site_fract_x
_atom_site_fract_y
_atom_site_fract_z
Th1 Th 0.2369 0.0000 0.2196
Th2 Th 0.2543 0.5000 0.7758
Co1 Co 0.0000 0.5000 0.0000
Os1 Os 0.5000 0.0000 0.0000
S1 S 0.0000 0.0000 0.5000
S2 S 0.5000 0.5000 0.5000
```

Summary:
As for the density: 10.32 g/cm³. The calculation puts the total energy at -8.064 eV/atom. The calculation puts the raw formation energy at -8.2 eV per formula unit.

---

[3]
# TaMoCl3

A relaxed TaMoCl3 crystal (PBE, the Alexandria database).

The structure in CIF format:
```
data_TaMoCl3
_space_group_name_H-M_alt 'P m -3 m'
_space_group_IT_number 221
_space_group_name_Hall '-P 4 2 3'
_cell_length_a 4.9227
_cell_length_b 4.9227
_cell_length_c 4.9227
_cell_angle_alpha 90.00
_cell_angle_beta 90.00
_cell_angle_gamma 90.00
loop_
_atom_site_label
_atom_site_type_symbol
_atom_site_fract_x
_atom_site_fract_y
_atom_site_fract_z
Ta1 Ta 0.0000 0.0000 0.0000
Mo1 Mo 0.5000 0.5000 0.5000
Cl1 Cl 0.0000 0.0000 0.5000
```

Summary:
As for the density: 5.33 g/cm³. The calculation puts the total energy at -5.115 eV/atom. The calculation puts the raw formation energy at 2.6 eV per formula unit.

---

[4]
# HfInAgPt

A relaxed HfInAgPt crystal (PBE, the Alexandria database).

The structure in CIF format:
```
data_HfInAgPt
_space_group_name_H-M_alt 'F -4 3 m'
_space_group_IT_number 216
_space_group_name_Hall 'F -4 2 3'
_cell_length_a 6.6761
_cell_length_b 6.6761
_cell_length_c 6.6761
_cell_angle_alpha 90.00
_cell_angle_beta 90.00
_cell_angle_gamma 90.00
loop_
_atom_site_label
_atom_site_type_symbol
_atom_site_fract_x
_atom_site_fract_y
_atom_site_fract_z
Hf1 Hf 0.0000 0.0000 0.0000
In1 In 0.0000 0.0000 0.5000
Ag1 Ag 0.2500 0.2500 0.7500
Pt1 Pt 0.2500 0.2500 0.2500
```

Summary:
As for the density: 13.31 g/cm³. The calculation puts the formation energy from the elements at -0.49 eV per atom. The calculation puts the total energy at -5.888 eV/atom.

---

[5]
# AcDyS3

A relaxed AcDyS3 crystal (PBE, the Alexandria database).

The structure in CIF format:
```
data_AcDyS3
_space_group_name_H-M_alt 'P n m a'
_space_group_IT_number 62
_space_group_name_Hall '-P 2ac 2n'
_cell_length_a 8.2456
_cell_length_b 4.0954
_cell_length_c 14.9430
_cell_angle_alpha 90.00
_cell_angle_beta 90.00
_cell_angle_gamma 90.00
loop_
_atom_site_label
_atom_site_type_symbol
_atom_site_fract_x
_atom_site_fract_y
_atom_site_fract_z
Ac1 Ac 0.1295 0.2500 0.1953
Dy1 Dy 0.1920 0.7500 0.4554
S1 S 0.0026 0.2500 0.3908
S2 S 0.1571 0.7500 0.0464
S3 S 0.1590 0.2500 0.7917
```

Summary:
The value obtained for the energy relative to the lowest polymorph listed for this composition is 0 meV per atom. As for the density: 6.39 g/cm³. The calculation puts the total energy at -6.352 eV/atom. The calculation puts the raw formation energy at -10.7 eV per formula unit.

---

[6]
# IrC

A relaxed IrC crystal (PBE, the Alexandria database).

The structure in CIF format:
```
data_IrC
_space_group_name_H-M_alt 'P n m a'
_space_group_IT_number 62
_space_group_name_Hall '-P 2ac 2n'
_cell_length_a 5.5369
_cell_length_b 3.1499
_cell_length_c 5.3249
_cell_angle_alpha 90.00
_cell_angle_beta 90.00
_cell_angle_gamma 90.00
loop_
_atom_site_label
_atom_site_type_symbol
_atom_site_fract_x
_atom_site_fract_y
_atom_site_fract_z
Ir1 Ir 0.0913 0.2500 0.2157
C1 C 0.1822 0.7500 0.4268
```

Summary:
The value obtained for the energy relative to the lowest polymorph listed for this composition is 393 meV per atom. As for the density: 14.61 g/cm³. The calculation puts the formation energy from the elements at 0.85 eV per atom. The calculation puts the total energy at -8.191 eV/atom.

---

[7]
# ScAl4Mo

A relaxed ScAl4Mo crystal (PBE, the Alexandria database).

The structure in CIF format:
```
data_ScAl4Mo
_space_group_name_H-M_alt 'F -4 3 m'
_space_group_IT_number 216
_space_group_name_Hall 'F -4 2 3'
_cell_length_a 7.3041
_cell_length_b 7.3041
_cell_length_c 7.3041
_cell_angle_alpha 90.00
_cell_angle_beta 90.00
_cell_angle_gamma 90.00
loop_
_atom_site_label
_atom_site_type_symbol
_atom_site_fract_x
_atom_site_fract_y
_atom_site_fract_z
Sc1 Sc 0.0000 0.0000 0.0000
Al1 Al 0.1250 0.1250 0.6250
Mo1 Mo 0.2500 0.2500 0.2500
```

Summary:
As for the density: 4.24 g/cm³. The calculation puts the formation energy from the elements at -0.28 eV per atom. The calculation puts the total energy at -5.635 eV/atom.

---

[8]
# AcN2

A relaxed AcN2 crystal (PBE, the Alexandria database).

The structure in CIF format:
```
data_AcN2
_space_group_name_H-M_alt 'I 4/m m m'
_space_group_IT_number 139
_space_group_name_Hall '-I 4 2'
_cell_length_a 3.8670
_cell_length_b 3.8670
_cell_length_c 6.4333
_cell_angle_alpha 90.00
_cell_angle_beta 90.00
_cell_angle_gamma 90.00
loop_
_atom_site_label
_atom_site_type_symbol
_atom_site_fract_x
_atom_site_fract_y
_atom_site_fract_z
Ac1 Ac 0.0000 0.0000 0.0000
N1 N 0.0000 0.0000 0.3966
```

Summary:
The value obtained for the energy relative to the lowest polymorph listed for this composition is 52 meV per atom. As for the density: 8.80 g/cm³. The calculation puts the total energy at -7.649 eV/atom. The calculation puts the raw formation energy at -2.2 eV per formula unit.

---

[9]
# La8Cd2Ga

A relaxed La8Cd2Ga crystal (PBE, the Alexandria database).

The structure in CIF format:
```
data_La8Cd2Ga
_space_group_name_H-M_alt 'C 1 2/m 1'
_space_group_IT_number 12
_space_group_name_Hall '-C 2y'
_cell_length_a 19.1161
_cell_length_b 5.3665
_cell_length_c 7.4408
_cell_angle_alpha 90.00
_cell_angle_beta 109.96
_cell_angle_gamma 90.00
loop_
_atom_site_label
_atom_site_type_symbol
_atom_site_fract_x
_atom_site_fract_y
_atom_site_fract_z
La1 La 0.0117 0.0000 0.2701
La2 La 0.0878 0.5000 0.9507
La3 La 0.1616 0.5000 0.4678
La4 La 0.1987 0.0000 0.7971
Cd1 Cd 0.1750 0.0000 0.2066
Ga1 Ga 0.0000 0.5000 0.5000
```

Summary:
As for the density: 6.51 g/cm³. The calculation puts the formation energy from the elements at -0.20 eV per atom. The calculation puts the total energy at -4.224 eV/atom.

---

[10]
# Al2TeICl

A relaxed Al2TeICl crystal (PBE, the Alexandria database).

The structure in CIF format:
```
data_Al2TeICl
_space_group_name_H-M_alt 'P 4/m m m'
_space_group_IT_number 123
_space_group_name_Hall '-P 4 2'
_cell_length_a 5.9005
_cell_length_b 5.9005
_cell_length_c 5.1591
_cell_angle_alpha 90.00
_cell_angle_beta 90.00
_cell_angle_gamma 90.00
loop_
_atom_site_label
_atom_site_type_symbol
_atom_site_fract_x
_atom_site_fract_y
_atom_site_fract_z
Al1 Al 0.0000 0.5000 0.0000
Te1 Te 0.0000 0.0000 0.5000
I1 I 0.5000 0.5000 0.0000
Cl1 Cl 0.5000 0.5000 0.5000
```

Summary:
As for the density: 3.18 g/cm³. The calculation puts the total energy at -2.230 eV/atom. The calculation puts the raw formation energy at 2.9 eV per formula unit.

---

[11]
# PrGdInPd

A relaxed PrGdInPd crystal (PBE, the Alexandria database).

The structure in CIF format:
```
data_PrGdInPd
_space_group_name_H-M_alt 'F -4 3 m'
_space_group_IT_number 216
_space_group_name_Hall 'F -4 2 3'
_cell_length_a 7.4784
_cell_length_b 7.4784
_cell_length_c 7.4784
_cell_angle_alpha 90.00
_cell_angle_beta 90.00
_cell_angle_gamma 90.00
loop_
_atom_site_label
_atom_site_type_symbol
_atom_site_fract_x
_atom_site_fract_y
_atom_site_fract_z
Pr1 Pr 0.0000 0.0000 0.0000
Gd1 Gd 0.0000 0.0000 0.5000
In1 In 0.2500 0.2500 0.2500
Pd1 Pd 0.2500 0.2500 0.7500
```

Summary:
As for the density: 8.25 g/cm³. The calculation puts the formation energy from the elements at -0.54 eV per atom. The calculation puts the total energy at -7.242 eV/atom.

---

[12]
# CaInAg2F6

A relaxed CaInAg2F6 crystal (PBE, the Alexandria database).

The structure in CIF format:
```
data_CaInAg2F6
_space_group_name_H-M_alt 'P 1 21/c 1'
_space_group_IT_number 14
_space_group_name_Hall '-P 2ybc'
_cell_length_a 6.0529
_cell_length_b 6.1497
_cell_length_c 10.4836
_cell_angle_alpha 90.00
_cell_angle_beta 124.91
_cell_angle_gamma 90.00
loop_
_atom_site_label
_atom_site_type_symbol
_atom_site_fract_x
_atom_site_fract_y
_atom_site_fract_z
Ca1 Ca 0.0000 0.0000 0.0000
In1 In 0.5000 0.0000 0.5000
Ag1 Ag 0.2630 0.0366 0.7509
F1 F 0.1534 0.0293 0.2571
F2 F 0.2639 0.7014 0.0517
F3 F 0.3560 0.2148 0.0564
```

Summary:
As for the density: 5.03 g/cm³. The calculation puts the total energy at -4.358 eV/atom. The calculation puts the raw formation energy at -21.9 eV per formula unit.

---

- density of number 3 (TaMoCl3)?
  5.33 g/cm³

---

- Which of these has the lowest density?
  Al2TeICl

---

- What is the density in the third record?
  5.33 g/cm³

---

Copy entry 8 word for word.
# AcN2

A relaxed AcN2 crystal (PBE, the Alexandria database).

The structure in CIF format:
```
data_AcN2
_space_group_name_H-M_alt 'I 4/m m m'
_space_group_IT_number 139
_space_group_name_Hall '-I 4 2'
_cell_length_a 3.8670
_cell_length_b 3.8670
_cell_length_c 6.4333
_cell_angle_alpha 90.00
_cell_angle_beta 90.00
_cell_angle_gamma 90.00
loop_
_atom_site_label
_atom_site_type_symbol
_atom_site_fract_x
_atom_site_fract_y
_atom_site_fract_z
Ac1 Ac 0.0000 0.0000 0.0000
N1 N 0.0000 0.0000 0.3966
```

Summary:
The value obtained for the energy relative to the lowest polymorph listed for this composition is 52 meV per atom. As for the density: 8.80 g/cm³. The calculation puts the total energy at -7.649 eV/atom. The calculation puts the raw formation energy at -2.2 eV per formula unit.